No. 1
DFT (PBEsol) results for a relaxed structure of Al2AsPb.

Cell: 6.124 6.124 7.199 Å, 115.17 115.17 90.00°
Sites, in units of the cell vectors:
As1 0.750 0.250 0.500
As2 0.500 0.500 0.000
Pb1 0.000 0.000 0.000
Al1 0.125 0.162 0.750
Pb2 0.250 0.750 0.500
Al2 0.412 0.875 0.250
Al3 0.625 0.588 0.750
Al4 0.838 0.375 0.250

## Properties
Energy above the most stable polymorph in this dataset ... 113.9 meV/atom
SG ... I-42d
Formation enthalpy at 0 K ... 102 meV/atom
Calculated total energy ... -4.22 eV/atom

***

No. 2
DFT (PBEsol) results for a relaxed structure of Al2AsPb.

Cell: 3.585 4.847 5.697 Å, 115.18 108.34 90.00°
Sites, in units of the cell vectors:
Al1 0.226 0.726 0.452
Pb1 0.761 0.261 0.523
Al2 0.977 0.977 0.955
As1 0.535 0.535 0.070

## Properties
Energy above the most stable polymorph in this dataset ... 186.2 meV/atom
SG ... Imm2
Formation enthalpy at 0 K ... 174 meV/atom
Calculated total energy ... -4.15 eV/atom

***

No. 3
DFT (PBEsol) results for a relaxed structure of Al2AsPb.

Cell: 3.587 3.587 6.749 Å, 90.00 90.00 90.00°
Sites, in units of the cell vectors:
Al1 0.000 0.000 0.031
Al2 0.500 0.500 0.280
Pb1 0.500 0.500 0.792
As1 0.000 0.000 0.397

## Properties
Energy above the most stable polymorph in this dataset ... 45.0 meV/atom
SG ... P4mm
Formation enthalpy at 0 K ... 33 meV/atom
Calculated total energy ... -4.29 eV/atom

***

No. 4
DFT (PBEsol) results for a relaxed structure of AlAsPb2.

Cell: 4.725 4.725 5.496 Å, 115.46 115.46 90.00°
Sites, in units of the cell vectors:
Pb1 0.250 0.750 0.500
Al1 0.500 0.500 0.000
Pb2 0.750 0.250 0.500
As1 0.000 0.000 0.000

## Properties
SG ... I4/mmm
Formation enthalpy at 0 K ... 224 meV/atom
Calculated total energy ... -4.07 eV/atom

***

No. 5
DFT (PBEsol) results for a relaxed structure of Al2AsPb.

Cell: 3.087 3.087 8.694 Å, 90.00 90.00 90.28°
Sites, in units of the cell vectors:
Al1 0.000 0.000 0.954
Al2 0.500 0.500 0.746
Pb1 0.500 0.500 0.245
As1 0.000 0.000 0.555

## Properties
Energy above the most stable polymorph in this dataset ... 181.3 meV/atom
SG ... Cmm2
Formation enthalpy at 0 K ... 169 meV/atom
Calculated total energy ... -4.15 eV/atom

***

No. 6
DFT (PBEsol) results for a relaxed structure of Al2AsPb.

Cell: 3.829 4.040 6.138 Å, 90.00 90.03 90.00°
Sites, in units of the cell vectors:
Al1 0.125 0.000 0.138
As1 0.625 0.000 0.419
Al2 0.625 0.500 0.159
Pb1 0.124 0.500 0.785

## Properties
Energy above the most stable polymorph in this dataset ... 56.6 meV/atom
SG ... Pmm2
Formation enthalpy at 0 K ... 45 meV/atom
Calculated total energy ... -4.28 eV/atom

***

No. 7
DFT (PBEsol) results for a relaxed structure of AlAs2Pt.

Cell: 3.927 3.927 4.335 Å, 90.00 90.00 90.00°
Sites, in units of the cell vectors:
Al1 0.000 0.000 0.500
As1 0.500 0.000 0.000
Pt1 0.500 0.500 0.500
As2 0.000 0.500 0.000

## Properties
SG ... P4/mmm
Formation enthalpy at 0 K ... 32 meV/atom
Calculated total energy ... -5.29 eV/atom

***

No. 8
DFT (PBEsol) results for a relaxed structure of AlAsPt5.

Cell: 3.933 3.933 6.963 Å, 90.00 90.00 90.00°
Sites, in units of the cell vectors:
Pt1 0.500 0.000 0.727
Al1 0.500 0.500 0.000
As1 0.000 0.000 0.500
Pt2 0.000 0.500 0.273
Pt3 0.000 0.500 0.727
Pt4 0.500 0.000 0.273
Pt5 0.000 0.000 0.000

## Properties
SG ... P4/mmm
Formation enthalpy at 0 K ... -522 meV/atom
Calculated total energy ... -6.81 eV/atom